#w
A plane-wave DFT calculation with PBE-GGA was carried out for crystalline Hf2NbGa4 at its relaxed geometry.

Results
As for the space-group type: No. 107. The value obtained for the total moment is 0.00 μB/atom.

a b c (Å): 5.4906 5.4906 6.5707
angles (deg): 126.76 126.76 64.39
Closest atoms and distances in Å follow each position.
Fractional coordinates of all 7 atoms:
Hf (0.2500, 0.7500, 0.5000)  8 Ga 2.79, 2 Hf 2.93
Hf (0.7500, 0.2500, 0.5000)  8 Ga 2.79, 2 Hf 2.93
Ga (0.6964, 0.6971, 0.3935)  2 Ga 2.59, 4 Hf 2.79, 1 Nb 2.82
Ga (0.6967, 0.6970, 0.0000)  2 Ga 2.59, 4 Hf 2.79, 1 Nb 2.82
Ga (0.3030, 0.3033, 0.0000)  2 Ga 2.59, 4 Hf 2.79, 1 Nb 2.82
Ga (0.3029, 0.3036, 0.6065)  2 Ga 2.59, 4 Hf 2.79, 1 Nb 2.82
Nb (0.0010, 0.9990, 0.0000)  4 Ga 2.82

#x
A plane-wave DFT calculation with PBE-GGA was carried out for crystalline Hf2NbGa4 at its relaxed geometry.

Results
As for the space-group type: No. 139. The value obtained for the total moment is 0.00 μB/atom.

a b c (Å): 4.8654 4.8654 7.6421
angles (deg): 71.44 71.44 90.00
Closest atoms and distances in Å follow each position.
Fractional coordinates of all 7 atoms:
Hf (0.3927, 0.3927, 0.2146)  5 Ga 2.75-2.84, 1 Hf 2.93
Hf (0.6073, 0.6073, 0.7854)  5 Ga 2.75-2.84, 1 Hf 2.93
Ga (0.0000, 0.5000, 0.0000)  2 Nb 2.43
Ga (0.5000, 0.0000, 0.0000)  2 Nb 2.43
Ga (0.1909, 0.1909, 0.6182)  1 Nb 2.61, 1 Hf 2.75
Ga (0.8091, 0.8091, 0.3818)  1 Nb 2.61, 1 Hf 2.75
Nb (0.0000, 0.0000, 0.0000)  6 Ga 2.43-2.61

Which one is most stable, and which one is least stable? #w is the most stable of them, while #x is the least stable.

#w
A plane-wave DFT calculation with PBE-GGA was carried out for crystalline NdHfGa4 at its relaxed geometry.

Results
As for the space-group type: No. 216. The value obtained for the total moment is 0.00 μB/atom.

a b c (Å): 5.4515 5.4515 5.4515
angles (deg): 60.00 60.00 60.00
Closest atoms and distances in Å follow each position.
Fractional coordinates of all 6 atoms:
Nd (0.0000, 0.0000, 0.0000)  12 Ga 3.20, 4 Hf 3.34
Ga (0.6245, 0.1266, 0.6245)  6 Ga 2.71-2.74
Ga (0.6245, 0.6245, 0.1266)  6 Ga 2.71-2.74
Ga (0.6245, 0.6245, 0.6245)  6 Ga 2.71-2.74
Ga (0.1266, 0.6245, 0.6245)  6 Ga 2.71-2.74
Hf (0.2500, 0.2500, 0.2500)  12 Ga 3.19, 4 Nd 3.34

#x
A plane-wave DFT calculation with PBE-GGA was carried out for crystalline NdHfGa4 at its relaxed geometry.

Results
As for the space-group type: No. 71. The value obtained for the total moment is 0.00 μB/atom.

a b c (Å): 4.1766 5.7528 5.7528
angles (deg): 78.75 68.72 68.72
Closest atoms and distances in Å follow each position.
Fractional coordinates of all 6 atoms:
Nd (0.0000, 0.0000, 0.0000)  12 Ga 3.10-3.15
Ga (0.7574, 0.9079, 0.5774)  3 Ga 2.41-2.43
Ga (0.2426, 0.0921, 0.4226)  3 Ga 2.41-2.43
Ga (0.7574, 0.5774, 0.9079)  3 Ga 2.41-2.43
Ga (0.2426, 0.4226, 0.0921)  3 Ga 2.41-2.43
Hf (0.5000, 0.5000, 0.5000)  12 Ga 3.07-3.17

Which one is most stable, and which one is least stable? #x is the most stable of them, while #w is the least stable.

#w
A plane-wave DFT calculation with PBE-GGA was carried out for crystalline NdHfGa2 at its relaxed geometry.

Results
As for the space-group type: No. 166. The value obtained for the total moment is 0.00 μB/atom.

a b c (Å): 3.5757 3.5757 8.6650
angles (deg): 78.09 78.09 60.00
Closest atoms and distances in Å follow each position.
Fractional coordinates of all 4 atoms:
Ga (0.2571, 0.2571, 0.2288)  3 Hf 2.82, 3 Nd 3.08
Ga (0.7429, 0.7429, 0.7712)  3 Hf 2.82, 3 Nd 3.08
Nd (0.5000, 0.5000, 0.5000)  6 Ga 3.08
Hf (0.0000, 0.0000, 0.0000)  6 Ga 2.82

#x
A plane-wave DFT calculation with PBE-GGA was carried out for crystalline NdHfGa2 at its relaxed geometry.

Results
As for the space-group type: No. 123. The value obtained for the total moment is 0.00 μB/atom.

a b c (Å): 3.6074 3.6074 6.6657
angles (deg): 90.00 90.00 90.00
Closest atoms and distances in Å follow each position.
Fractional coordinates of all 4 atoms:
Nd (0.5000, 0.5000, 0.5000)  8 Ga 3.21, 2 Hf 3.33
Ga (0.0000, 0.0000, 0.7926)  1 Ga 2.77, 4 Hf 2.90
Ga (0.0000, 0.0000, 0.2074)  1 Ga 2.77, 4 Hf 2.90
Hf (0.5000, 0.5000, 0.0000)  8 Ga 2.90

Which one is most stable, and which one is least stable? #x is the most stable of them, while #w is the least stable.

#w
A plane-wave DFT calculation with PBE-GGA was carried out for crystalline HfGa2Ni2 at its relaxed geometry.

Results
As for the space-group type: No. 127. The value obtained for the total moment is 0.00 μB/atom.

a b c (Å): 7.1438 7.1438 2.8069
angles (deg): 90.00 90.00 90.00
Closest atoms and distances in Å follow each position.
Fractional coordinates of all 10 atoms:
Ga (0.6632, 0.8368, 0.5000)  6 Ni 2.51-2.53, 2 Ga 2.81
Ga (0.8368, 0.3368, 0.5000)  6 Ni 2.51-2.53, 2 Ga 2.81
Ga (0.1632, 0.6632, 0.5000)  6 Ni 2.51-2.53, 2 Ga 2.81
Ga (0.3368, 0.1632, 0.5000)  6 Ni 2.51-2.53, 2 Ga 2.81
Hf (0.0000, 0.0000, 0.0000)  4 Ni 2.80, 2 Hf 2.81, 8 Ga 3.02
Hf (0.5000, 0.5000, 0.0000)  4 Ni 2.80, 2 Hf 2.81, 8 Ga 3.02
Ni (0.8696, 0.6304, 0.0000)  6 Ga 2.51-2.53, 3 Ni 2.64-2.81, 2 Hf 2.80
Ni (0.1304, 0.3696, 0.0000)  6 Ga 2.51-2.53, 3 Ni 2.64-2.81, 2 Hf 2.80
Ni (0.3696, 0.8696, 0.0000)  6 Ga 2.51-2.53, 3 Ni 2.64-2.81, 2 Hf 2.80
Ni (0.6304, 0.1304, 0.0000)  6 Ga 2.51-2.53, 3 Ni 2.64-2.81, 2 Hf 2.80

#x
A plane-wave DFT calculation with PBE-GGA was carried out for crystalline HfGa2Ni2 at its relaxed geometry.

Results
As for the space-group type: No. 127. The value obtained for the total moment is 0.00 μB/atom.

a b c (Å): 7.2577 7.2577 2.7168
angles (deg): 90.00 90.00 90.00
Closest atoms and distances in Å follow each position.
Fractional coordinates of all 10 atoms:
Ni (0.6686, 0.8314, 0.5000)  6 Ga 2.48-2.57, 2 Ni 2.72
Ni (0.8314, 0.3314, 0.5000)  6 Ga 2.48-2.57, 2 Ni 2.72
Ni (0.1686, 0.6686, 0.5000)  6 Ga 2.48-2.57, 2 Ni 2.72
Ni (0.3314, 0.1686, 0.5000)  6 Ga 2.48-2.57, 2 Ni 2.72
Hf (0.5000, 0.5000, 0.0000)  2 Hf 2.72, 4 Ga 2.85, 8 Ni 3.02
Hf (0.0000, 0.0000, 0.0000)  2 Hf 2.72, 4 Ga 2.85, 8 Ni 3.02
Ga (0.1287, 0.3713, 0.0000)  6 Ni 2.48-2.57, 3 Ga 2.64-2.72
Ga (0.3713, 0.8713, 0.0000)  6 Ni 2.48-2.57, 3 Ga 2.64-2.72
Ga (0.6287, 0.1287, 0.0000)  6 Ni 2.48-2.57, 3 Ga 2.64-2.72
Ga (0.8713, 0.6287, 0.0000)  6 Ni 2.48-2.57, 3 Ga 2.64-2.72

Which one is most stable, and which one is least stable? #w is the most stable of them, while #x is the least stable.

#w
A plane-wave DFT calculation with PBE-GGA was carried out for crystalline HfGa2Ni2 at its relaxed geometry.

Results
As for the space-group type: No. 139. The value obtained for the total moment is 0.00 μB/atom.

a b c (Å): 3.6450 3.6450 6.2029
angles (deg): 72.91 72.91 90.00
Closest atoms and distances in Å follow each position.
Fractional coordinates of all 5 atoms:
Hf (0.0000, 0.0000, 0.0000)  8 Ni 2.82
Ni (0.6022, 0.6022, 0.7955)  1 Ni 2.31, 4 Ga 2.47
Ni (0.3978, 0.3978, 0.2045)  1 Ni 2.31, 4 Ga 2.47
Ga (0.7500, 0.2500, 0.5000)  4 Ni 2.47, 4 Ga 2.58
Ga (0.2500, 0.7500, 0.5000)  4 Ni 2.47, 4 Ga 2.58

#x
A plane-wave DFT calculation with PBE-GGA was carried out for crystalline HfGa2Ni2 at its relaxed geometry.

Results
As for the space-group type: No. 59. The value obtained for the total moment is 0.00 μB/atom.

a b c (Å): 3.1886 4.1545 11.0943
angles (deg): 90.02 90.00 90.00
Closest atoms and distances in Å follow each position.
Fractional coordinates of all 10 atoms:
Ni (0.2500, 0.2501, 0.9727)  4 Ga 2.41-2.42, 4 Ni 2.69
Ni (0.2500, 0.7500, 0.6486)  5 Ga 2.38-2.52
Ni (0.7500, 0.2500, 0.3514)  5 Ga 2.38-2.52
Ni (0.7500, 0.7499, 0.0273)  4 Ga 2.41-2.42, 4 Ni 2.69
Ga (0.7500, 0.7500, 0.4729)  4 Ni 2.48-2.52, 4 Ga 2.69
Ga (0.2500, 0.7500, 0.8628)  5 Ni 2.38-2.42
Ga (0.2500, 0.2500, 0.5271)  4 Ni 2.48-2.52, 4 Ga 2.69
Ga (0.7500, 0.2500, 0.1372)  5 Ni 2.38-2.42
Hf (0.7500, 0.2499, 0.7559)  6 Ga 2.87-3.00, 6 Ni 2.88-2.89, 2 Hf 3.19
Hf (0.2500, 0.7501, 0.2441)  6 Ga 2.87-3.00, 6 Ni 2.88-2.89, 2 Hf 3.19

Which one is most stable, and which one is least stable? #x is the most stable of them, while #w is the least stable.